No. 1
VASP calculation (GGA-PBE) on a relaxed LiVAs crystal.

Geometry as POSCAR:
```
LiVAs
1.0
3.659 0.000 0.000
0.000 13.639 0.000
0.000 0.000 3.780
Li V As
4 4 4
direct
0.000 0.082 0.250
0.000 0.918 0.750
0.500 0.418 0.750
0.500 0.582 0.250
0.000 0.251 0.750
0.000 0.749 0.250
0.500 0.249 0.250
0.500 0.751 0.750
0.000 0.378 0.250
0.000 0.622 0.750
0.500 0.122 0.750
0.500 0.878 0.250
```

Calculated values
- energy of formation from the pure elements (eV/atom) = -0.5106
- relative energy among the computed polymorphs (meV per atom) = 66
- crystal system = orthorhombic
- ρ (g/cm³) = 4.68
- energy (eV/atom) = -5.74
- calculated volume (A^3/atom) = 15.72

***

No. 2
VASP calculation (GGA-PBE) on a relaxed SrLiCuAg3 crystal.

Geometry as POSCAR:
```
SrLiCuAg3
1.0
3.291 -6.479 0.000
3.291 6.479 0.000
0.000 0.000 5.967
Sr Li Cu Ag
2 2 2 6
direct
0.209 0.791 0.750
0.791 0.209 0.250
0.440 0.560 0.750
0.560 0.440 0.250
0.143 0.857 0.250
0.857 0.143 0.750
0.211 0.211 0.000
0.211 0.211 0.500
0.352 0.648 0.250
0.648 0.352 0.750
0.789 0.789 0.000
0.789 0.789 0.500
```

Calculated values
- energy of formation from the pure elements (eV/atom) = -0.0598
- crystal system = orthorhombic
- ρ (g/cm³) = 6.29
- energy (eV/atom) = -2.77
- calculated volume (A^3/atom) = 21.21

***

No. 3
VASP calculation (GGA-PBE) on a relaxed LiFe2H crystal.

Geometry as POSCAR:
```
LiFe2H
1.0
5.319 0.000 0.000
0.000 5.319 0.000
0.000 0.000 5.319
Li Fe H
4 8 4
direct
0.000 0.000 0.000
0.000 0.500 0.500
0.500 0.000 0.500
0.500 0.500 0.000
0.250 0.250 0.250
0.250 0.250 0.750
0.250 0.750 0.250
0.250 0.750 0.750
0.750 0.250 0.250
0.750 0.250 0.750
0.750 0.750 0.250
0.750 0.750 0.750
0.000 0.000 0.500
0.000 0.500 0.000
0.500 0.000 0.000
0.500 0.500 0.500
```

Calculated values
- relative energy among the computed polymorphs (meV per atom) = 523
- crystal system = cubic
- ρ (g/cm³) = 5.28
- energy (eV/atom) = -4.83
- calculated volume (A^3/atom) = 9.41